Material: LiAsPt
Method: DFT, PBE
State: optimized geometry

Properties
Space-group type: Pnma (62)
Raw total energy (eV per atom): -4.81

Geometry as POSCAR:
```
LiAsPt
1.0
6.561 0.000 0.000
0.000 4.165 0.000
0.000 0.000 7.298
As Pt Li
4 4 4
Cartesian
1.812 3.123 6.435
1.469 1.041 2.786
5.092 3.123 4.512
4.750 1.041 0.863
1.030 3.123 4.096
4.311 3.123 6.851
2.251 1.041 0.447
5.532 1.041 3.202
3.181 1.041 4.978
0.100 3.123 1.329
6.462 1.041 5.970
3.381 3.123 2.320
```